Compound: SmCrSO2
Source: the Alexandria database
Functional: PBE+U
Structure: optimized geometry

Computed properties:
- DFT total energy (eV per atom) = -7.25
- density of states at the Fermi level (states/eV/f.u.) = 0.08
- symmetry = Cmcm

abc: 5.255 5.234 6.399
angles: 114.14 90.00 90.00
Positions (direct):
Cr (0.750, 0.058, 0.115)
Sm (0.250, 0.625, 0.251)
O (0.000, 0.244, 0.000)
Sm (0.750, 0.375, 0.749)
O (0.000, 0.756, 0.000)
O (0.500, 0.756, 0.000)
Cr (0.250, 0.942, 0.885)
S (0.750, 0.744, 0.488)
O (0.500, 0.244, 0.000)
S (0.250, 0.256, 0.512)